Entry 1:
Density functional theory data (PBE) for a geometry-optimized Na2ZnH4 structure.

Values from the calculation:
- E: -2.630 eV/atom

a b c (Å): 5.264 5.323 6.519
angles (deg): 90.00 107.23 90.00
Space group P2_1/m (No. 11)
Inequivalent atoms, fractional coordinates:
Na  0.203  0.250  0.032 (multiplicity 2)
Na  0.287  0.250  0.568 (multiplicity 2)
Zn  0.233  0.750  0.795 (multiplicity 2)
H  0.032  0.506  0.737 (multiplicity 4)
H  0.386  0.750  0.056 (multiplicity 2)
H  0.444  0.750  0.652 (multiplicity 2)


Entry 2:
Density functional theory data (PBE) for a geometry-optimized Na3ZrH6 structure.

Values from the calculation:
- E: -3.305 eV/atom

a b c (Å): 8.030 8.030 8.030
angles (deg): 90.00 90.00 90.00
Space group Fm-3m (No. 225)
Inequivalent atoms, fractional coordinates:
Na  0.000  0.000  0.000 (multiplicity 4)
Na  0.250  0.250  0.250 (multiplicity 8)
Zr  0.000  0.000  0.500 (multiplicity 4)
H  0.000  0.000  0.256 (multiplicity 24)


Entry 3:
Density functional theory data (PBE) for a geometry-optimized NbH3 structure.

Values from the calculation:
- E: -5.091 eV/atom

a b c (Å): 6.508 6.807 9.221
angles (deg): 90.00 90.00 90.00
Space group Fmmm (No. 69)
Inequivalent atoms, fractional coordinates:
Nb  0.000  0.235  0.000 (multiplicity 8)
Nb  0.250  0.000  0.250 (multiplicity 8)
H  0.000  0.000  0.388 (multiplicity 8)
H  0.000  0.139  0.193 (multiplicity 16)
H  0.162  0.000  0.000 (multiplicity 8)
H  0.250  0.250  0.125 (multiplicity 16)


Entry 4:
Density functional theory data (PBE) for a geometry-optimized NbH3 structure.

Values from the calculation:
- E: -5.150 eV/atom

a b c (Å): 3.320 10.301 3.300
angles (deg): 90.00 90.00 90.00
Space group Cmcm (No. 63)
Inequivalent atoms, fractional coordinates:
Nb  0.000  0.146  0.250 (multiplicity 4)
H  0.000  0.045  0.750 (multiplicity 4)
H  0.000  0.247  0.750 (multiplicity 4)
H  0.000  0.434  0.750 (multiplicity 4)


Entry 5:
Density functional theory data (PBE) for a geometry-optimized NbH4 structure.

Values from the calculation:
- E: -4.695 eV/atom
- ΔE to the lowest computed polymorph: 67.0 meV/atom

a b c (Å): 5.592 3.244 6.707
angles (deg): 90.00 92.52 90.00
Space group P2_1/m (No. 11)
Inequivalent atoms, fractional coordinates:
Nb  0.134  0.250  0.336 (multiplicity 2)
Nb  0.348  0.250  0.815 (multiplicity 2)
H  0.012  0.750  0.204 (multiplicity 2)
H  0.141  0.750  0.511 (multiplicity 2)
H  0.148  0.750  0.846 (multiplicity 2)
H  0.169  0.250  0.058 (multiplicity 2)
H  0.330  0.750  0.283 (multiplicity 2)
H  0.378  0.250  0.544 (multiplicity 2)
H  0.393  0.750  0.983 (multiplicity 2)
H  0.480  0.750  0.698 (multiplicity 2)


Entry 6:
Density functional theory data (PBE) for a geometry-optimized NbH4 structure.

Values from the calculation:
- E: -4.762 eV/atom
- ΔE to the lowest computed polymorph: 0.0 meV/atom

a b c (Å): 5.546 3.255 8.167
angles (deg): 90.00 103.60 90.00
Space group C2/m (No. 12)
Inequivalent atoms, fractional coordinates:
Nb  0.218  0.000  0.154 (multiplicity 4)
H  0.082  0.500  0.236 (multiplicity 4)
H  0.141  0.000  0.915 (multiplicity 4)
H  0.157  0.500  0.597 (multiplicity 4)
H  0.191  0.000  0.391 (multiplicity 4)


Entry 7:
Density functional theory data (PBE) for a geometry-optimized NbH structure.

Values from the calculation:
- E: -6.780 eV/atom

a b c (Å): 4.442 4.442 4.442
angles (deg): 90.00 90.00 90.00
Space group F-43m (No. 216)
Inequivalent atoms, fractional coordinates:
Nb  0.000  0.000  0.000 (multiplicity 4)
H  0.250  0.250  0.250 (multiplicity 4)


Entry 8:
Density functional theory data (PBE) for a geometry-optimized NbH4 structure.

Values from the calculation:
- E: -4.591 eV/atom
- ΔE to the lowest computed polymorph: 171.3 meV/atom

a b c (Å): 3.5155 3.5155 15.7415
angles (deg): 90.00 90.00 120.00
Space group R-3m (No. 166, hexagonal axes)
Inequivalent atoms, fractional coordinates:
Nb  0.0000  0.0000  0.0000 (multiplicity 3)
Nb  0.0000  0.0000  0.5000 (multiplicity 3)
H  0.0000  0.0000  0.1470 (multiplicity 6)
H  0.0093  0.5047  0.9391 (multiplicity 18)